Below is a relaxed RbCaI2O crystal, with properties calculated at the PBE level.

Cell lengths 6.439, 6.439, 4.538 Å; angles 90.00, 90.00, 90.00 degrees
Fractional positions:
I  0.000  0.500  0.000
I  0.500  0.000  0.000
Ca  0.500  0.500  0.500
O  0.000  0.000  0.500
Rb  0.000  0.000  0.000

## Properties
* E_form (uncorrected): -0.4478 eV per atom
* space group: P4/mmm
* polymorph energy (0 for the lowest one): 940.2 meV/atom